1.
{"formula": "NdTm2Ge", "functional": "GGA-PBE", "state": "relaxed", "dos_at_fermi_per_ev_fu": 4.484, "m_tot_mub_per_fu": 0.00, "e_above_lowest_polymorph_ev_per_atom": 0.000, "cell": [[-1.853, 3.060, -0.199], [-1.981, -1.372, -2.652], [-5.599, -3.017, 5.743]], "species": ["Ge", "Tm", "Tm", "Nd"], "frac_coords": [[0.500, 0.500, 0.000], [0.000, 0.000, 0.197], [0.000, 0.000, 0.803], [0.500, 0.500, 0.500]]}



2.
{"formula": "Nd3TmGe6", "functional": "GGA-PBE", "state": "relaxed", "dos_at_fermi_per_ev_fu": 6.155, "m_tot_mub_per_fu": 0.00, "final_energy_ev_per_atom": -5.335, "cell": [[-4.575, 4.700, 4.319], [3.792, -3.561, 5.884], [5.534, 5.253, -1.862]], "species": ["Ge", "Ge", "Ge", "Ge", "Ge", "Ge", "Ge", "Ge", "Ge", "Ge", "Ge", "Ge", "Tm", "Tm", "Nd", "Nd", "Nd", "Nd", "Nd", "Nd"], "frac_coords": [[0.375, 0.014, 0.088], [0.986, 0.912, 0.625], [0.014, 0.088, 0.375], [0.513, 0.875, 0.588], [0.588, 0.513, 0.875], [0.487, 0.125, 0.412], [0.412, 0.487, 0.125], [0.088, 0.375, 0.014], [0.912, 0.625, 0.986], [0.125, 0.412, 0.487], [0.625, 0.986, 0.912], [0.875, 0.588, 0.513], [0.000, 0.000, 0.000], [0.500, 0.500, 0.500], [0.750, 0.317, 0.183], [0.683, 0.817, 0.250], [0.183, 0.750, 0.317], [0.250, 0.683, 0.817], [0.317, 0.183, 0.750], [0.817, 0.250, 0.683]]}